# LaBe3Os | the Alexandria database | PBE | relaxed
data_LaBe3Os
_cell_length_a 3.1758
_cell_length_b 3.1758
_cell_length_c 7.2116
_cell_angle_alpha 90.00
_cell_angle_beta 90.00
_cell_angle_gamma 90.00
_symmetry_space_group_name_H-M 'P 4 m m'
_symmetry_Int_Tables_number 99
loop_
_symmetry_equiv_pos_as_xyz
'x,y,z'
'-y,x,z'
'-x,-y,z'
'y,-x,z'
'-x,y,z'
'y,x,z'
'x,-y,z'
'-y,-x,z'
loop_
_atom_site_label
_atom_site_type_symbol
_atom_site_fract_x
_atom_site_fract_y
_atom_site_fract_z
La1 La 0.0000 0.0000 0.0000
Be1 Be 0.0000 0.0000 0.4044
Be2 Be 0.0000 0.5000 0.5972
Os1 Os 0.5000 0.5000 0.3353
# - offset from the most stable computed form (meV/atom) = 134
# - volume (Å³/cell) = 72.73
# - calculated formation energy (eV/atom) = -0.024
# - density (kg/m3) = 8131
# - DFT total energy (eV/atom) = -5.491

=====

# LaBe3Os | the Alexandria database | PBE | relaxed
data_LaBe3Os
_cell_length_a 5.6810
_cell_length_b 5.6810
_cell_length_c 15.8267
_cell_angle_alpha 90.00
_cell_angle_beta 90.00
_cell_angle_gamma 120.00
_symmetry_space_group_name_H-M 'R -3 m'
_symmetry_Int_Tables_number 166
_symmetry_space_group_name_Hall '-R 3 2"'
loop_
_atom_site_label
_atom_site_type_symbol
_atom_site_fract_x
_atom_site_fract_y
_atom_site_fract_z
La1 La 0.0000 0.0000 0.0946
Be1 Be 0.0736 0.5368 0.1001
Os1 Os 0.0000 0.0000 0.3072
# - offset from the most stable computed form (meV/atom) = 190
# - volume (Å³/cell) = 442.35
# - calculated formation energy (eV/atom) = 0.032
# - density (kg/m3) = 8022
# - DFT total energy (eV/atom) = -5.435

=====

# LaBe3Os | the Alexandria database | PBE | relaxed
data_LaBe3Os
_cell_length_a 6.0262
_cell_length_b 6.0262
_cell_length_c 4.4922
_cell_angle_alpha 90.00
_cell_angle_beta 90.00
_cell_angle_gamma 90.00
_symmetry_space_group_name_H-M 'P 4/n m m'
_symmetry_Int_Tables_number 129
loop_
_symmetry_equiv_pos_as_xyz
'x,y,z'
'-x,-y,-z'
'-y+1/2,x,z'
'y+1/2,-x,-z'
'-x+1/2,-y+1/2,z'
'x+1/2,y+1/2,-z'
'y,-x+1/2,z'
'-y,x+1/2,-z'
'x+1/2,-y,-z'
'-x+1/2,y,z'
'-y,-x,-z'
'y,x,z'
'-x,y+1/2,-z'
'x,-y+1/2,z'
'y+1/2,x+1/2,-z'
'-y+1/2,-x+1/2,z'
loop_
_atom_site_label
_atom_site_type_symbol
_atom_site_fract_x
_atom_site_fract_y
_atom_site_fract_z
La1 La 0.2500 0.7500 0.0000
Be1 Be 0.0000 0.0000 0.5000
Be2 Be 0.2500 0.2500 0.1441
Os1 Os 0.2500 0.2500 0.6382
# - offset from the most stable computed form (meV/atom) = 54
# - volume (Å³/cell) = 163.14
# - calculated formation energy (eV/atom) = -0.103
# - density (kg/m3) = 7251
# - DFT total energy (eV/atom) = -5.571